# 1
## Tb3Zr2Sb3 (PBE)

Data for a relaxed structure of Tb3Zr2Sb3.

* uncorrected formation energy: -7.15 eV per formula unit
* total magnetic moment: 0.0000 μB per atom
* space group: P6_3/mcm

abc: 6.036 8.831 8.831
angles: 120.00 90.00 90.00
Sites, in units of the cell vectors:
Zr 0.000 0.667 0.333
Zr 0.500 0.667 0.333
Tb 0.250 0.749 0.000
Tb 0.250 0.251 0.251
Sb 0.750 0.000 0.606
Sb 0.750 0.606 0.000
Sb 0.250 0.394 0.000
Tb 0.250 0.000 0.749
Sb 0.250 0.606 0.606
Tb 0.750 0.749 0.749
Zr 0.000 0.333 0.667
Tb 0.750 0.000 0.251
Zr 0.500 0.333 0.667
Sb 0.750 0.394 0.394
Tb 0.750 0.251 0.000
Sb 0.250 0.000 0.394

***

# 2
## TbZr3Sb2 (PBE)

Data for a relaxed structure of TbZr3Sb2.

* uncorrected formation energy: -3.47 eV per formula unit
* total magnetic moment: 0.0000 μB per atom
* space group: C2/m

abc: 4.047 9.892 9.050
angles: 122.83 90.00 101.80
Sites, in units of the cell vectors:
Zr 0.941 0.882 0.541
Tb 0.112 0.224 0.101
Tb 0.888 0.776 0.899
Zr 0.352 0.703 0.182
Sb 0.490 0.981 0.810
Sb 0.754 0.508 0.231
Zr 0.686 0.373 0.477
Sb 0.246 0.492 0.769
Zr 0.059 0.118 0.459
Sb 0.510 0.019 0.190
Zr 0.314 0.627 0.523
Zr 0.648 0.297 0.818

***

# 3
## TbZr2Sb4 (PBE)

Data for a relaxed structure of TbZr2Sb4.

* uncorrected formation energy: -3.90 eV per formula unit
* total magnetic moment: 0.0000 μB per atom
* space group: Cmcm

abc: 4.142 7.212 13.757
angles: 90.00 90.00 106.69
Sites, in units of the cell vectors:
Sb 0.500 0.000 0.000
Sb 0.763 0.526 0.132
Zr 0.135 0.271 0.445
Sb 0.237 0.474 0.868
Tb 0.391 0.782 0.250
Tb 0.609 0.218 0.750
Zr 0.865 0.729 0.555
Sb 0.059 0.119 0.250
Sb 0.500 0.000 0.500
Sb 0.763 0.526 0.368
Sb 0.941 0.881 0.750
Sb 0.237 0.474 0.632
Zr 0.135 0.271 0.055
Zr 0.865 0.729 0.945

***

# 4
## Tb4ZrSb5 (PBE)

Data for a relaxed structure of Tb4ZrSb5.

* uncorrected formation energy: -10.16 eV per formula unit
* total magnetic moment: 0.0000 μB per atom
* space group: I4/mmm

abc: 4.348 4.348 15.646
angles: 97.99 97.99 90.00
Sites, in units of the cell vectors:
Sb 0.500 0.500 0.000
Tb 0.802 0.802 0.603
Zr 0.000 0.000 0.000
Tb 0.599 0.599 0.199
Sb 0.700 0.700 0.400
Sb 0.097 0.097 0.193
Tb 0.401 0.401 0.801
Sb 0.300 0.300 0.600
Tb 0.198 0.198 0.397
Sb 0.903 0.903 0.807

***

# 5
## Tb2ZrSb3 (PBE)

Data for a relaxed structure of Tb2ZrSb3.

* uncorrected formation energy: -5.57 eV per formula unit
* total magnetic moment: 0.0000 μB per atom
* space group: I4/mmm

abc: 4.310 4.310 9.615
angles: 102.96 102.96 89.98
Sites, in units of the cell vectors:
Sb 0.272 0.274 0.550
Tb 0.102 0.103 0.210
Sb 0.934 0.936 0.874
Sb 0.596 0.597 0.198
Tb 0.766 0.768 0.538
Zr 0.434 0.436 0.874

***

# 6
## Tb2ZrSb4 (PBE)

Data for a relaxed structure of Tb2ZrSb4.

* uncorrected formation energy: -4.71 eV per formula unit
* total magnetic moment: 0.1579 μB per atom
* space group: P-4m2

abc: 4.283 4.283 10.998
angles: 90.00 90.00 90.00
Site moments in Bohr magnetons follow the coordinates.
Sites, in units of the cell vectors:
Tb 0.000 0.500 0.281  0.12
Sb 0.000 0.000 0.500  0.00
Zr 0.500 0.500 0.000  0.42
Sb 0.500 0.000 0.174  -0.02
Sb 0.000 0.500 0.826  -0.02
Sb 0.500 0.500 0.500  -0.01
Tb 0.500 0.000 0.719  0.12

***

# 7
## Tb3ZrSb4 (PBE)

Data for a relaxed structure of Tb3ZrSb4.

* uncorrected formation energy: -8.01 eV per formula unit
* total magnetic moment: 0.0000 μB per atom
* space group: P2/c

abc: 7.478 7.499 8.673
angles: 90.00 90.00 109.54
Sites, in units of the cell vectors:
Zr 0.750 0.000 0.876
Sb 0.000 0.239 0.120
Tb 0.250 0.500 0.375
Sb 0.506 0.756 0.631
Tb 0.750 0.500 0.125
Tb 0.750 0.500 0.625
Sb 0.994 0.244 0.631
Tb 0.750 0.000 0.375
Sb 0.494 0.244 0.369
Sb 0.006 0.756 0.369
Sb 0.500 0.761 0.120
Sb 0.000 0.761 0.880
Zr 0.250 0.000 0.124
Tb 0.250 0.500 0.875
Sb 0.500 0.239 0.880
Tb 0.250 0.000 0.625

***

# 8
## TcSb2 (PBE)

Data for a relaxed structure of TcSb2.

* uncorrected formation energy: 4.16 eV per formula unit
* total magnetic moment: 0.9410 μB per atom
* space group: Fd-3m
* energy above the most stable polymorph in this dataset: 1.4057 eV per atom

abc: 5.988 5.988 5.988
angles: 60.00 60.00 60.00
Site moments in Bohr magnetons follow the coordinates.
Sites, in units of the cell vectors:
Sb 0.125 0.125 0.125  -0.03
Sb 0.625 0.125 0.125  -0.03
Tc 0.750 0.750 0.750  2.61
Sb 0.125 0.625 0.125  -0.03
Sb 0.125 0.125 0.625  -0.03
Tc 0.500 0.500 0.500  2.61

***

# 9
## Tc3Sb (PBE)

Data for a relaxed structure of Tc3Sb.

* uncorrected formation energy: 1.10 eV per formula unit
* total magnetic moment: 0.0000 μB per atom
* space group: Cmcm
* energy above the most stable polymorph in this dataset: 0.0773 eV per atom

abc: 5.584 5.584 4.565
angles: 90.00 90.00 115.96
Sites, in units of the cell vectors:
Tc 0.315 0.148 0.250
Tc 0.685 0.852 0.750
Tc 0.819 0.181 0.250
Sb 0.654 0.346 0.750
Tc 0.852 0.685 0.250
Sb 0.346 0.654 0.250
Tc 0.181 0.819 0.750
Tc 0.148 0.315 0.750

***

# 10
## TcSb2 (PBE)

Data for a relaxed structure of TcSb2.

* uncorrected formation energy: 1.22 eV per formula unit
* total magnetic moment: 0.0000 μB per atom
* space group: I4_1/amd
* energy above the most stable polymorph in this dataset: 0.4231 eV per atom

abc: 15.825 15.825 15.825
angles: 164.04 164.04 22.65
Sites, in units of the cell vectors:
Tc 0.106 0.106 0.000
Sb 0.839 0.339 0.500
Tc 0.356 0.856 0.500
Tc 0.144 0.644 0.500
Sb 0.970 0.470 0.500
Sb 0.589 0.589 0.000
Sb 0.411 0.411 0.000
Sb 0.661 0.161 0.500
Sb 0.720 0.720 0.000
Sb 0.530 0.030 0.500
Tc 0.894 0.894 0.000
Sb 0.280 0.280 0.000

***

# 11
## TcSb2 (PBE)

Data for a relaxed structure of TcSb2.

* uncorrected formation energy: 0.97 eV per formula unit
* total magnetic moment: 0.0000 μB per atom
* space group: Pa-3
* energy above the most stable polymorph in this dataset: 0.3397 eV per atom

abc: 6.556 6.556 6.556
angles: 90.00 90.00 90.00
Sites, in units of the cell vectors:
Sb 0.640 0.860 0.860
Tc 0.000 0.500 0.500
Sb 0.640 0.640 0.360
Sb 0.140 0.640 0.140
Sb 0.860 0.140 0.360
Sb 0.360 0.140 0.140
Tc 0.500 0.000 0.500
Sb 0.860 0.360 0.860
Tc 0.000 0.000 0.000
Sb 0.360 0.360 0.640
Tc 0.500 0.500 0.000
Sb 0.140 0.860 0.640

***

# 12
## TcSb2 (PBE)

Data for a relaxed structure of TcSb2.

* uncorrected formation energy: 0.32 eV per formula unit
* total magnetic moment: 0.0000 μB per atom
* space group: P-3m1
* energy above the most stable polymorph in this dataset: 0.1234 eV per atom

abc: 3.464 3.464 6.370
angles: 90.00 90.00 120.00
Sites, in units of the cell vectors:
Sb 0.333 0.667 0.289
Tc 0.000 0.000 0.000
Sb 0.667 0.333 0.711